Record 1
Density functional theory data (PBE-GGA) for Li2Pm3Ge6Rh after structural relaxation.

E_tot	-59.6	eV for the cell shown
ΔE_f	-0.5400	eV per atom

a b c (Å): 6.0002 6.0002 8.1640
angles (deg): 90.00 90.00 120.00
Space group P-3m1 (No. 164)
Unique sites:
Li  0.3333  0.6667  0.0045
Pm  0.0000  0.0000  0.0000
Pm  0.3333  0.6667  0.6027
Ge  0.1833  0.3666  0.2800
Rh  0.0000  0.0000  0.5000

Record 2
Density functional theory data (PBE-GGA) for Be2Zn2Ge after structural relaxation.

E above lowest polymorph	30	meV/atom
E_tot	-26.0	eV for the cell shown
ΔE_f	0.3272	eV per atom

a b c (Å): 7.356 7.356 2.498
angles (deg): 90.00 90.00 90.00
Space group P4/mbm (No. 127)
Unique sites:
Be  0.163  0.337  0.000
Zn  0.134  0.634  0.500
Ge  0.000  0.000  0.500